Entry 1:
VASP calculation (GGA-PBE) on crystalline Dy3Zn8Ag at its relaxed geometry.

Cell and atoms, written as POSCAR:
```
Dy3Zn8Ag
1.0
2.690 1.553 8.818
-2.690 1.553 8.818
0.000 -3.106 8.818
Dy Zn Ag
3 8 1
direct
0.000 0.000 0.000
0.126 0.126 0.126
0.510 0.510 0.510
0.065 0.065 0.567
0.065 0.567 0.065
0.067 0.565 0.565
0.315 0.315 0.315
0.565 0.067 0.565
0.565 0.565 0.067
0.567 0.065 0.065
0.816 0.816 0.816
0.631 0.631 0.631
```

Results
**DFT total energy**: -2.528 eV per atom
**Energy of formation from the pure elements**: -0.291 eV per atom
**Mass density**: 8406 kg/m3
**Space group**: No. 160

---

Entry 2:
VASP calculation (GGA-PBE) on crystalline Dy5Zn2Ag at its relaxed geometry.

Cell and atoms, written as POSCAR:
```
Dy5Zn2Ag
1.0
-3.669 3.669 7.679
3.669 -3.669 7.679
3.669 3.669 -7.679
Dy Zn Ag
10 4 2
direct
0.000 0.000 0.000
0.017 0.517 0.835
0.183 0.017 0.500
0.317 0.817 0.835
0.483 0.317 0.500
0.500 0.500 0.000
0.517 0.683 0.500
0.683 0.183 0.165
0.817 0.983 0.500
0.983 0.483 0.165
0.122 0.378 0.500
0.378 0.878 0.256
0.622 0.122 0.744
0.878 0.622 0.500
0.250 0.250 0.000
0.750 0.750 0.000
```

Results
**DFT total energy**: -3.765 eV per atom
**Energy of formation from the pure elements**: -0.213 eV per atom
**Mass density**: 8442 kg/m3
**Space group**: No. 140

---

Entry 3:
VASP calculation (GGA-PBE) on crystalline DyZn2Ag at its relaxed geometry.

Cell and atoms, written as POSCAR:
```
DyZn2Ag
1.0
2.282 -5.009 0.000
2.282 5.009 0.000
0.000 0.000 6.789
Dy Zn Ag
2 4 2
direct
0.091 0.909 0.750
0.909 0.091 0.250
0.379 0.621 0.560
0.379 0.621 0.940
0.621 0.379 0.060
0.621 0.379 0.440
0.205 0.795 0.250
0.795 0.205 0.750
```

Results
**DFT total energy**: -2.797 eV per atom
**Energy of formation from the pure elements**: -0.297 eV per atom
**Mass density**: 8585 kg/m3
**Space group**: No. 63

---

Entry 4:
VASP calculation (GGA-PBE) on crystalline Dy3Zn2Ag at its relaxed geometry.

Cell and atoms, written as POSCAR:
```
Dy3Zn2Ag
1.0
3.587 0.000 0.000
0.000 3.587 0.000
0.000 0.000 10.754
Dy Zn Ag
3 2 1
direct
0.000 0.000 0.000
0.000 0.000 0.326
0.000 0.000 0.674
0.500 0.500 0.161
0.500 0.500 0.839
0.500 0.500 0.500
```

Results
**DFT total energy**: -3.543 eV per atom
**Energy of formation from the pure elements**: -0.342 eV per atom
**Mass density**: 8714 kg/m3
**Space group**: No. 123